PBE Pa2Ga9Sn, optimized geometry; DFT formation energy = -4.4 kcal/mol of atoms; energy = -4.38 eV per atom; M_tot = 0.000 μB per formula unit; volume = 20.3 A^3/atom
1.0
4.299 0.000 0.000
0.000 4.299 0.000
0.000 0.000 13.174
Pa Ga Sn
2 9 1
direct
0.000 0.000 0.162 Pa
0.000 0.000 0.838 Pa
0.000 0.500 0.000 Ga
0.000 0.500 0.328 Ga
0.000 0.500 0.672 Ga
0.500 0.000 0.000 Ga
0.500 0.000 0.328 Ga
0.500 0.000 0.672 Ga
0.500 0.500 0.158 Ga
0.500 0.500 0.500 Ga
0.500 0.500 0.842 Ga
0.000 0.000 0.500 Sn

=====

PBE KRb2BBr6, optimized geometry; E_form (uncorrected) = -9.1 eV/f.u.; energy = -2.88 eV per atom; M_tot = 0.000 μB per formula unit; volume = 33.2 A^3/atom
1.0
-3.876 3.876 5.520
3.876 -3.876 5.520
3.876 3.876 -5.520
K Rb B Br
1 2 1 6
direct
0.000 0.000 0.000 K
0.250 0.750 0.500 Rb
0.750 0.250 0.500 Rb
0.500 0.500 0.000 B
0.285 0.285 0.000 Br
0.287 0.287 0.574 Br
0.287 0.713 0.000 Br
0.713 0.287 0.000 Br
0.713 0.713 0.426 Br
0.715 0.715 0.000 Br

=====

PBE NaHC2F, optimized geometry; energy = -4.08 eV per atom; M_tot = 0.000 μB per formula unit; volume = 11.6 A^3/atom
1.0
2.852 0.000 0.000
0.000 2.852 0.000
0.000 0.000 7.149
Na H C F
1 1 2 1
direct
0.000 0.000 0.000 Na
0.000 0.000 0.500 H
0.000 0.500 0.500 C
0.500 0.000 0.500 C
0.500 0.500 0.000 F

=====

PBE Tm4MnAg, optimized geometry; DFT formation energy = -1.4 kcal/mol of atoms; energy = -5.04 eV per atom; M_tot = 0.542 μB per formula unit; volume = 24.7 A^3/atom
1.0
4.190 -6.189 0.000
4.190 6.189 0.000
-1.663 0.000 5.719
Tm Mn Ag
8 2 2
direct
0.067 0.727 0.958 Tm
0.208 0.365 0.601 Tm
0.273 0.933 0.542 Tm
0.365 0.208 0.101 Tm
0.635 0.792 0.899 Tm
0.727 0.067 0.458 Tm
0.792 0.635 0.399 Tm
0.933 0.273 0.042 Tm
0.001 0.999 0.750 Mn
0.999 0.001 0.250 Mn
0.373 0.627 0.250 Ag
0.627 0.373 0.750 Ag

=====

Question: Which of these has the lowest energy?
Answer: Tm4MnAg